1.
Computed, not measured: crystalline TaNiPd2 at its relaxed geometry at the PBE level of DFT.

Results
Its size of the total moment is 0.003 μB/f.u. As for the calculated density: 12.65 g/cm³. For the formation energy, the calculation gives -0.21 eV per atom.

```
TaNiPd2
1.0
0.0000 3.0969 3.0969
3.0969 0.0000 3.0969
3.0969 3.0969 0.0000
Ta Ni Pd
1 1 2
Direct
0.0000 0.0000 0.0000 Ta
0.7500 0.7500 0.7500 Ni
0.2500 0.2500 0.2500 Pd
0.5000 0.5000 0.5000 Pd
```

=====

2.
Computed, not measured: crystalline Y2GaPd2 at its relaxed geometry at the PBE level of DFT.

Results
Its size of the total moment is 0.018 μB/f.u. As for the calculated density: 7.05 g/cm³. The value obtained for the total energy is -5.6970 eV/atom.

```
Y2GaPd2
1.0
-1.9969 1.9969 6.7946
1.9969 -1.9969 6.7946
1.9969 1.9969 -6.7946
Y Ga Pd
2 1 2
Direct
0.1087 0.1087 0.0000 Y
0.8913 0.8913 0.0000 Y
0.5000 0.5000 0.0000 Ga
0.2500 0.7500 0.5000 Pd
0.7500 0.2500 0.5000 Pd
```

=====

3.
Computed, not measured: crystalline Rb2TeW6 at its relaxed geometry at the PBE level of DFT.

Results
Its size of the total moment is 0.001 μB/f.u. As for the calculated density: 9.81 g/cm³. The value obtained for the total energy is -7.7842 eV/atom.

```
Rb2TeW6
1.0
-3.4532 3.4532 4.9717
3.4532 -3.4532 4.9717
3.4532 3.4532 -4.9717
Rb Te W
2 1 6
Direct
0.2500 0.7500 0.5000 Rb
0.7500 0.2500 0.5000 Rb
0.0000 0.0000 0.0000 Te
0.3015 0.6741 0.9756 W
0.3171 0.3171 0.0000 W
0.3259 0.3015 0.6274 W
0.6741 0.6985 0.3726 W
0.6829 0.6829 0.0000 W
0.6985 0.3259 0.0244 W
```

=====

4.
Computed, not measured: crystalline HoCu2C4 at its relaxed geometry at the PBE level of DFT.

Results
Its size of the total moment is 0.001 μB/f.u. As for the calculated density: 5.71 g/cm³. The value obtained for the total energy is -6.3913 eV/atom.

```
HoCu2C4
1.0
3.9751 -6.1986 0.0000
3.9751 6.1986 0.0000
-3.5306 0.0000 4.0101
Ho Cu C
2 4 8
Direct
0.0754 0.9246 0.7500 Ho
0.9246 0.0754 0.2500 Ho
0.0000 0.5000 0.0000 Cu
0.5000 0.0000 0.5000 Cu
0.5000 0.5000 0.0000 Cu
0.5000 0.5000 0.5000 Cu
0.1439 0.3378 0.8623 C
0.1448 0.3358 0.1092 C
0.3358 0.1448 0.6092 C
0.3378 0.1439 0.3623 C
0.6622 0.8561 0.6377 C
0.6642 0.8552 0.3908 C
0.8552 0.6642 0.8908 C
0.8561 0.6622 0.1377 C
```

=====

5.
Computed, not measured: crystalline CdIr9 at its relaxed geometry at the PBE level of DFT.

Results
Its size of the total moment is 0.003 μB/f.u. As for the calculated density: 15.76 g/cm³. For the formation energy, the calculation gives 0.05 eV per atom.

```
CdIr9
1.0
2.7487 0.0000 0.0000
0.0000 2.7487 0.0000
0.0000 0.0000 51.3993
Cd Ir
2 18
Direct
0.2500 0.2500 0.1387 Cd
0.7500 0.7500 0.8613 Cd
0.2500 0.2500 0.2183 Ir
0.2500 0.2500 0.2938 Ir
0.2500 0.2500 0.3688 Ir
0.2500 0.2500 0.4439 Ir
0.2500 0.2500 0.5187 Ir
0.2500 0.2500 0.5936 Ir
0.2500 0.2500 0.6687 Ir
0.2500 0.2500 0.7440 Ir
0.2500 0.2500 0.8180 Ir
0.7500 0.7500 0.1820 Ir
0.7500 0.7500 0.2560 Ir
0.7500 0.7500 0.3313 Ir
0.7500 0.7500 0.4064 Ir
0.7500 0.7500 0.4813 Ir
0.7500 0.7500 0.5561 Ir
0.7500 0.7500 0.6312 Ir
0.7500 0.7500 0.7062 Ir
0.7500 0.7500 0.7817 Ir
```

=====

6.
Computed, not measured: crystalline BaPrIn2Pd4 at its relaxed geometry at the PBE level of DFT.

Results
Its size of the total moment is 0.009 μB/f.u. As for the calculated density: 8.24 g/cm³. The value obtained for the total energy is -4.7950 eV/atom.

```
BaPrIn2Pd4
1.0
4.6781 0.0000 0.0000
-2.3391 4.0514 0.0000
0.0000 0.0000 9.9220
Ba Pr In Pd
1 1 2 4
Direct
0.0000 0.0000 0.0000 Ba
0.3333 0.6667 0.5000 Pr
0.6667 0.3333 0.2680 In
0.6667 0.3333 0.7320 In
0.0000 0.0000 0.3413 Pd
0.0000 0.0000 0.6587 Pd
0.3333 0.6667 0.2036 Pd
0.3333 0.6667 0.7964 Pd
```